An optimized crystal structure of CaLa3Nd4Se8, computed with PBE.

## Properties
space group: R-3m
energy: -94.4 eV/cell
total magnetic moment: 0.0000 μB per atom

Lattice parameters (Å, degrees): 8.522 8.523 8.523 120.00 120.00 90.00
Fractional coordinates of all 16 atoms:
1 Se 0.752 0.754 0.503
2 Nd 0.000 0.000 0.000
3 Nd 0.000 0.000 0.500
4 Nd 0.500 0.000 0.000
5 Se 0.756 0.750 0.003
6 Se 0.247 0.750 0.495
7 Se 0.247 0.750 0.003
8 La 0.000 0.500 0.500
9 Se 0.248 0.246 0.497
10 Se 0.753 0.250 0.997
11 La 0.500 0.500 0.500
12 La 0.500 0.500 0.000
13 Nd 0.500 0.000 0.500
14 Ca 0.000 0.500 0.000
15 Se 0.753 0.250 0.505
16 Se 0.244 0.250 0.997